No. 1
Below is a relaxed structure of PmAlPd, with properties calculated at the PBE level.

Cell and atoms, written as CIF:
```
data_PmAlPd
_symmetry_space_group_name_H-M 'P n m a'
_symmetry_Int_Tables_number 62
_cell_length_a 7.126
_cell_length_b 4.535
_cell_length_c 7.828
_cell_angle_alpha 90.00
_cell_angle_beta 90.00
_cell_angle_gamma 90.00
loop_
_symmetry_equiv_pos_as_xyz
'x,y,z'
'-x,-y,-z'
'-x+1/2,-y,z+1/2'
'x+1/2,y,-z+1/2'
'x+1/2,-y+1/2,-z+1/2'
'-x+1/2,y+1/2,z+1/2'
'-x,y+1/2,-z'
'x,-y+1/2,z'
loop_
_atom_site_label
_atom_site_fract_x
_atom_site_fract_y
_atom_site_fract_z
Pm1 0.035 0.250 0.180
Al1 0.146 0.250 0.566
Pd1 0.218 0.750 0.386
```

## Properties
Calculated total energy (eV/atom): -5.386
Energy relative to the lowest polymorph listed for this composition (meV/atom): 0
Calculated volume (Å³ per cell): 253
Formation enthalpy at 0 K (eV per atom): -0.824

No. 2
Below is a relaxed structure of NdScTaN3, with properties calculated at the PBE level.

Cell and atoms, written as CIF:
```
data_NdScTaN3
_symmetry_space_group_name_H-M 'P 1 21/m 1'
_symmetry_Int_Tables_number 11
_cell_length_a 5.753
_cell_length_b 3.331
_cell_length_c 8.481
_cell_angle_alpha 90.00
_cell_angle_beta 103.93
_cell_angle_gamma 90.00
loop_
_symmetry_equiv_pos_as_xyz
'x,y,z'
'-x,-y,-z'
'-x,y+1/2,-z'
'x,-y+1/2,z'
loop_
_atom_site_label
_atom_site_fract_x
_atom_site_fract_y
_atom_site_fract_z
Nd1 0.158 0.250 0.191
Sc1 0.273 0.750 0.540
Ta1 0.360 0.250 0.851
N1 0.062 0.250 0.666
N2 0.266 0.750 0.983
N3 0.467 0.750 0.343
```

## Properties
Calculated total energy (eV/atom): -9.400
Calculated volume (Å³ per cell): 158

No. 3
Below is a relaxed structure of TbHo4Cu4, with properties calculated at the PBE level.

Cell and atoms, written as CIF:
```
data_TbHo4Cu4
_symmetry_space_group_name_H-M 'P 42/n'
_symmetry_Int_Tables_number 86
_cell_length_a 8.642
_cell_length_b 8.642
_cell_length_c 5.831
_cell_angle_alpha 90.00
_cell_angle_beta 90.00
_cell_angle_gamma 90.00
loop_
_symmetry_equiv_pos_as_xyz
'x,y,z'
'-x,-y,-z'
'-y,x+1/2,z+1/2'
'y,-x+1/2,-z+1/2'
'-x+1/2,-y+1/2,z'
'x+1/2,y+1/2,-z'
'y+1/2,-x,z+1/2'
'-y+1/2,x,-z+1/2'
loop_
_atom_site_label
_atom_site_fract_x
_atom_site_fract_y
_atom_site_fract_z
Tb1 0.250 0.250 0.250
Ho1 0.059 0.662 0.152
Cu1 0.025 0.619 0.630
```

## Properties
Calculated total energy (eV/atom): -4.407
Calculated volume (Å³ per cell): 435
Formation enthalpy at 0 K (eV per atom): -0.038

No. 4
Below is a relaxed structure of CeB2Pt7, with properties calculated at the PBE level.

Cell and atoms, written as CIF:
```
data_CeB2Pt7
_symmetry_space_group_name_H-M 'C m m m'
_symmetry_Int_Tables_number 65
_symmetry_space_group_name_Hall '-C 2 2'
_cell_length_a 7.159
_cell_length_b 11.246
_cell_length_c 4.178
_cell_angle_alpha 90.00
_cell_angle_beta 90.00
_cell_angle_gamma 90.00
loop_
_atom_site_label
_atom_site_fract_x
_atom_site_fract_y
_atom_site_fract_z
Ce1 0.000 0.000 0.000
B1 0.000 0.309 0.500
Pt1 0.000 0.260 0.000
Pt2 0.000 0.500 0.500
Pt3 0.198 0.133 0.500
```

## Properties
Calculated total energy (eV/atom): -6.491
Calculated volume (Å³ per cell): 336
Formation enthalpy at 0 K (eV per atom): -0.333

No. 5
Below is a relaxed structure of Tl3Cd6Sb5, with properties calculated at the PBE level.

Cell and atoms, written as CIF:
```
data_Tl3Cd6Sb5
_symmetry_space_group_name_H-M 'P m m n'
_symmetry_Int_Tables_number 59
_cell_length_a 4.717
_cell_length_b 14.520
_cell_length_c 12.128
_cell_angle_alpha 90.00
_cell_angle_beta 90.00
_cell_angle_gamma 90.00
loop_
_symmetry_equiv_pos_as_xyz
'x,y,z'
'-x,-y,-z'
'-x+1/2,-y+1/2,z'
'x+1/2,y+1/2,-z'
'x+1/2,-y,-z'
'-x+1/2,y,z'
'-x,y+1/2,-z'
'x,-y+1/2,z'
loop_
_atom_site_label
_atom_site_fract_x
_atom_site_fract_y
_atom_site_fract_z
Tl1 0.250 0.093 0.247
Tl2 0.250 0.750 0.248
Cd1 0.250 0.058 0.878
Cd2 0.250 0.250 0.044
Cd3 0.250 0.250 0.497
Cd4 0.250 0.589 0.503
Sb1 0.250 0.082 0.642
Sb2 0.250 0.621 0.990
Sb3 0.250 0.750 0.656
```

## Properties
Calculated total energy (eV/atom): -2.393
Calculated volume (Å³ per cell): 831

No. 6
Below is a relaxed structure of AlReO4, with properties calculated at the PBE level.

Cell and atoms, written as CIF:
```
data_AlReO4
_symmetry_space_group_name_H-M 'P 2 2 2'
_symmetry_Int_Tables_number 16
_cell_length_a 5.411
_cell_length_b 5.447
_cell_length_c 6.330
_cell_angle_alpha 90.00
_cell_angle_beta 90.00
_cell_angle_gamma 90.00
loop_
_symmetry_equiv_pos_as_xyz
'x,y,z'
'-x,-y,z'
'x,-y,-z'
'-x,y,-z'
loop_
_atom_site_label
_atom_site_fract_x
_atom_site_fract_y
_atom_site_fract_z
Al1 0.000 0.000 0.000
Al2 0.500 0.000 0.500
Re1 0.000 0.000 0.500
Re2 0.000 0.500 0.000
O1 0.173 0.243 0.133
O2 0.257 0.185 0.621
```

## Properties
Calculated total energy (eV/atom): -7.510
Energy relative to the lowest polymorph listed for this composition (meV/atom): 528
Calculated volume (Å³ per cell): 187